(1)
The following is a PBE calculation of Zn2CoHgSe after structural relaxation, from Alexandria.

Computed properties:
**Total magnetization**: 0.444 μB per atom
**Electronic total energy**: -9.28 eV per cell

abc: 4.9152 4.9152 5.0155
angles: 90.00 90.00 90.00
Space group P4/mmm (No. 123)
One atom of each set of equivalent atoms:
Zn  0.0000  0.5000  0.0000 (multiplicity 2)
Co  0.0000  0.0000  0.5000 (multiplicity 1)
Hg  0.0000  0.0000  0.0000 (multiplicity 1)
Se  0.5000  0.5000  0.5000 (multiplicity 1)

=====

(2)
The following is a PBE calculation of CoSiHg3 after structural relaxation, from Alexandria.

Computed properties:
**Total magnetization**: 0.473 μB per atom
**Electronic total energy**: -8.80 eV per cell
**Relative energy among the computed polymorphs**: 127 meV per atom

abc: 5.1048 5.1048 5.1048
angles: 90.00 90.00 90.00
Space group Pm-3m (No. 221)
One atom of each set of equivalent atoms:
Co  0.0000  0.0000  0.0000 (multiplicity 1)
Si  0.5000  0.5000  0.5000 (multiplicity 1)
Hg  0.0000  0.5000  0.5000 (multiplicity 3)

=====

(3)
The following is a PBE calculation of Co2Si2Hg after structural relaxation, from Alexandria.

Computed properties:
**Total magnetization**: 0.000 μB per atom
**Electronic total energy**: -50.99 eV per cell
**Relative energy among the computed polymorphs**: 143 meV per atom

abc: 7.0392 7.0392 2.6669
angles: 90.00 90.00 90.00
Space group P4/mbm (No. 127)
One atom of each set of equivalent atoms:
Co  0.1442  0.3558  0.0000 (multiplicity 4)
Si  0.1392  0.6392  0.5000 (multiplicity 4)
Hg  0.0000  0.0000  0.5000 (multiplicity 2)

=====

(4)
The following is a PBE calculation of CoSi3Hg after structural relaxation, from Alexandria.

Computed properties:
**Total magnetization**: 0.000 μB per atom
**Electronic total energy**: -22.01 eV per cell
**Relative energy among the computed polymorphs**: 0 meV per atom

abc: 4.4572 4.4572 4.4572
angles: 90.00 90.00 90.00
Space group Pm-3m (No. 221)
One atom of each set of equivalent atoms:
Co  0.0000  0.0000  0.0000 (multiplicity 1)
Si  0.0000  0.0000  0.5000 (multiplicity 3)
Hg  0.5000  0.5000  0.5000 (multiplicity 1)

=====

(5)
The following is a PBE calculation of Co2Si2Hg after structural relaxation, from Alexandria.

Computed properties:
**Total magnetization**: 0.000 μB per atom
**Electronic total energy**: -51.45 eV per cell
**Relative energy among the computed polymorphs**: 96 meV per atom

abc: 6.8751 6.8751 2.7962
angles: 90.00 90.00 90.00
Space group P4/mbm (No. 127)
One atom of each set of equivalent atoms:
Co  0.1433  0.3567  0.0000 (multiplicity 4)
Si  0.1415  0.6415  0.5000 (multiplicity 4)
Hg  0.0000  0.0000  0.0000 (multiplicity 2)

=====

(6)
The following is a PBE calculation of CoSiHg2 after structural relaxation, from Alexandria.

Computed properties:
**Total magnetization**: 0.001 μB per atom
**Electronic total energy**: -21.47 eV per cell

abc: 4.0327 4.0327 8.4737
angles: 90.00 90.00 90.00
Space group I4/mmm (No. 139)
One atom of each set of equivalent atoms:
Co  0.0000  0.0000  0.0000 (multiplicity 2)
Si  0.0000  0.0000  0.5000 (multiplicity 2)
Hg  0.0000  0.5000  0.2500 (multiplicity 4)

=====

(7)
The following is a PBE calculation of CoSiHg2 after structural relaxation, from Alexandria.

Computed properties:
**Total magnetization**: 0.358 μB per atom
**Electronic total energy**: -10.73 eV per cell

abc: 2.9208 2.9208 8.6116
angles: 90.00 90.00 90.00
Space group P4/mmm (No. 123)
One atom of each set of equivalent atoms:
Co  0.0000  0.0000  0.0000 (multiplicity 1)
Si  0.0000  0.0000  0.5000 (multiplicity 1)
Hg  0.5000  0.5000  0.2182 (multiplicity 2)

=====

(8)
The following is a PBE calculation of CoSiHg3 after structural relaxation, from Alexandria.

Computed properties:
**Total magnetization**: 0.272 μB per atom
**Electronic total energy**: -9.44 eV per cell
**Relative energy among the computed polymorphs**: 0 meV per atom

abc: 4.9635 4.9635 4.9635
angles: 90.00 90.00 90.00
Space group Pm-3m (No. 221)
One atom of each set of equivalent atoms:
Co  0.0000  0.0000  0.0000 (multiplicity 1)
Si  0.5000  0.5000  0.5000 (multiplicity 1)
Hg  0.0000  0.0000  0.5000 (multiplicity 3)

=====

Number 1: E_form (uncorrected) 0.833 eV per atom. Number 2: E_form (uncorrected) 0.926 eV per atom. Number 3: E_form (uncorrected) -0.027 eV per atom. Number 4: E_form (uncorrected) 0.334 eV per atom. Number 5: E_form (uncorrected) -0.073 eV per atom. Number 6: E_form (uncorrected) 0.600 eV per atom. Number 7: E_form (uncorrected) 0.601 eV per atom. Number 8: E_form (uncorrected) 0.799 eV per atom.